No. 1
DFT (PBE-GGA) results for VCrPBr after structural relaxation.

Computed properties:
ΔE to the lowest computed polymorph   172 meV per atom
Uncorrected formation energy   -0.1413 eV per atom
Total magnetic moment   1.0 μB/f.u.

a b c (Å): 4.319 4.319 6.473
angles (deg): 91.83 91.83 45.95
Fractional coordinates of all 4 atoms:
1 V 0.000 0.000 0.000
2 Cr 0.700 0.700 0.832
3 P 0.292 0.292 0.079
4 Br 0.030 0.030 0.604

---

No. 2
DFT (PBE-GGA) results for Y2TmAg after structural relaxation.

Computed properties:
ΔE to the lowest computed polymorph   0 meV per atom
Total magnetic moment   0.0 μB/f.u.
Energy relative to the elements   -0.1301 eV per atom

a b c (Å): 6.875 9.682 6.797
angles (deg): 90.00 90.00 90.00
Fractional coordinates of all 16 atoms:
1 Y 0.210 0.051 0.207
2 Y 0.210 0.449 0.207
3 Y 0.290 0.551 0.707
4 Y 0.290 0.949 0.707
5 Y 0.710 0.051 0.293
6 Y 0.710 0.449 0.293
7 Y 0.790 0.551 0.793
8 Y 0.790 0.949 0.793
9 Tm 0.009 0.250 0.604
10 Tm 0.491 0.750 0.104
11 Tm 0.509 0.250 0.896
12 Tm 0.991 0.750 0.396
13 Ag 0.062 0.750 0.982
14 Ag 0.438 0.250 0.482
15 Ag 0.562 0.750 0.518
16 Ag 0.938 0.250 0.018

---

No. 3
DFT (PBE-GGA) results for Ru2IBr after structural relaxation.

Computed properties:
ΔE to the lowest computed polymorph   8 meV per atom
Uncorrected formation energy   0.2266 eV per atom
Total magnetic moment   0.0 μB/f.u.

a b c (Å): 3.762 6.145 8.868
angles (deg): 106.14 90.25 90.00
Fractional coordinates of all 8 atoms:
1 Ru 0.000 0.000 0.000
2 Ru 0.002 0.355 0.233
3 Ru 0.500 0.321 0.031
4 Ru 0.502 0.031 0.201
5 I 0.498 0.976 0.768
6 I 0.999 0.542 0.909
7 Br 0.003 0.806 0.324
8 Br 0.505 0.366 0.445

---

No. 4
DFT (PBE-GGA) results for Tm3MgIn4Te8 after structural relaxation.

Computed properties:
Uncorrected formation energy   -0.8256 eV per atom
Total magnetic moment   0.0 μB/f.u.

a b c (Å): 9.330 9.330 9.330
angles (deg): 55.90 55.90 55.90
Fractional coordinates of all 16 atoms:
1 Tm 0.000 0.500 0.500
2 Tm 0.500 0.000 0.500
3 Tm 0.500 0.500 0.000
4 Mg 0.000 0.000 0.000
5 In 0.000 0.000 0.500
6 In 0.000 0.500 0.000
7 In 0.500 0.000 0.000
8 In 0.500 0.500 0.500
9 Te 0.238 0.238 0.742
10 Te 0.238 0.742 0.238
11 Te 0.258 0.762 0.762
12 Te 0.259 0.259 0.259
13 Te 0.741 0.741 0.741
14 Te 0.742 0.238 0.238
15 Te 0.762 0.258 0.762
16 Te 0.762 0.762 0.258

---

No. 5
DFT (PBE-GGA) results for Rb2CdHgAs after structural relaxation.

Computed properties:
Total magnetic moment   0.0 μB/f.u.
Energy relative to the elements   -0.1877 eV per atom

a b c (Å): 6.826 6.826 5.293
angles (deg): 90.00 90.00 90.00
Fractional coordinates of all 5 atoms:
1 Rb 0.000 0.500 0.000
2 Rb 0.500 0.000 0.000
3 Cd 0.000 0.000 0.500
4 Hg 0.500 0.500 0.500
5 As 0.000 0.000 0.000

---

No. 6
DFT (PBE-GGA) results for ZnCd2GaHg after structural relaxation.

Computed properties:
ΔE to the lowest computed polymorph   1 meV per atom
Total magnetic moment   0.0 μB/f.u.
Energy relative to the elements   0.1923 eV per atom

a b c (Å): 5.339 5.339 4.760
angles (deg): 90.00 90.00 90.00
Fractional coordinates of all 5 atoms:
1 Zn 0.000 0.000 0.000
2 Cd 0.000 0.500 0.500
3 Cd 0.500 0.000 0.500
4 Ga 0.000 0.000 0.500
5 Hg 0.500 0.500 0.000